Entry from Alexandria via LeMat-Bulk: a relaxed MnZn2Tc crystal (PBE).

Results
Formation energy from the elements   529.3 meV/atom
Relative energy among the computed polymorphs   523 meV/atom

Unit cell a=6.8788 b=6.8788 c=5.5058 alpha=51.34 beta=51.34 gamma=90.00
Each line ends with the local moment (μB).
Fractional coordinates of all 8 atoms:
Zn (0.6197, 0.1250, 0.2500)  -0.01
Zn (0.1303, 0.6250, 0.2500)  -0.01
Zn (0.3750, 0.3803, 0.7500)  -0.01
Zn (0.8750, 0.8697, 0.7500)  -0.01
Mn (0.5000, 0.5000, 0.0000)  3.40
Mn (0.2500, 0.7500, 0.5000)  3.39
Tc (0.0000, 0.0000, 0.0000)  -0.13
Tc (0.7500, 0.2500, 0.5000)  -0.13

Entry from Alexandria via LeMat-Bulk: a relaxed Li7Zn2Pd crystal (PBE).

Results
Formation energy from the elements   -114.8 meV/atom

Unit cell a=4.3913 b=4.3913 c=9.6948 alpha=90.00 beta=90.00 gamma=120.00
Fractional coordinates of all 10 atoms:
Li (0.3333, 0.6667, 0.3983)
Li (0.3333, 0.6667, 0.1483)
Li (0.0000, 0.0000, 0.3407)
Li (0.0000, 0.0000, 0.7572)
Li (0.6667, 0.3333, 0.5521)
Li (0.6667, 0.3333, 0.9355)
Li (0.3333, 0.6667, 0.9144)
Zn (0.6667, 0.3333, 0.2136)
Zn (0.3333, 0.6667, 0.6571)
Pd (0.0000, 0.0000, 0.0661)

Entry from Alexandria via LeMat-Bulk: a relaxed Ca3NdPb4 crystal (PBE).

Results
Formation energy from the elements   -511.0 meV/atom

Unit cell a=4.5795 b=5.1079 c=10.2969 alpha=90.00 beta=90.00 gamma=90.00
Fractional coordinates of all 8 atoms:
Pb (0.0000, 0.0000, 0.5000)
Pb (0.0000, 0.5000, 0.7507)
Pb (0.0000, 0.0000, 0.0000)
Pb (0.0000, 0.5000, 0.2493)
Ca (0.5000, 0.0000, 0.2562)
Ca (0.5000, 0.5000, 0.5000)
Ca (0.5000, 0.0000, 0.7438)
Nd (0.5000, 0.5000, 0.0000)

Entry from Alexandria via LeMat-Bulk: a relaxed K3H7Os crystal (PBE).

Results
Electronic total energy   -41.1 eV for the cell shown

Unit cell a=6.0612 b=6.0612 c=6.0020 alpha=57.58 beta=57.58 gamma=86.43
Each line ends with the local moment (μB).
Fractional coordinates of all 11 atoms:
K (0.7128, 0.2125, 0.5295)  0.00
K (0.4497, 0.4497, 0.0553)  0.00
K (0.2125, 0.7128, 0.5295)  0.00
H (0.1630, 0.1630, 0.0217)  0.00
H (0.7137, 0.1030, 0.1375)  0.00
H (0.0208, 0.2517, 0.6829)  0.00
H (0.1030, 0.7137, 0.1375)  0.00
H (0.7587, 0.7587, 0.4357)  0.00
H (0.2517, 0.0208, 0.6829)  0.00
H (0.7714, 0.7714, 0.0185)  0.00
Os (0.9677, 0.9677, 0.0191)  -0.10

Entry from Alexandria via LeMat-Bulk: a relaxed Cs2K16Na crystal (PBE).

Results
Formation energy from the elements   29.1 meV/atom

Unit cell a=11.5108 b=11.5108 c=11.5108 alpha=81.50 beta=81.50 gamma=81.50
Fractional coordinates of all 19 atoms:
Cs (0.6739, 0.6739, 0.6739)
Cs (0.3319, 0.3319, 0.3319)
K (0.7034, 0.9994, 0.2963)
K (0.9994, 0.2963, 0.7034)
K (0.2963, 0.7034, 0.9994)
K (0.9994, 0.7034, 0.2963)
K (0.7034, 0.2963, 0.9994)
K (0.2963, 0.9994, 0.7034)
K (0.3538, 0.8477, 0.3538)
K (0.8477, 0.3538, 0.3538)
K (0.3538, 0.3538, 0.8477)
K (0.6485, 0.1490, 0.6485)
K (0.1490, 0.6485, 0.6485)
K (0.6485, 0.6485, 0.1490)
K (0.9955, 0.5122, 0.9955)
K (0.5122, 0.9955, 0.9955)
K (0.9955, 0.9955, 0.5122)
K (0.0895, 0.0895, 0.0895)
Na (0.9021, 0.9021, 0.9021)

Entry from Alexandria via LeMat-Bulk: a relaxed HoMnNb crystal (PBE).

Results
Formation energy from the elements   170.0 meV/atom

Unit cell a=5.0447 b=5.0447 c=5.6842 alpha=106.28 beta=106.28 gamma=111.60
Each line ends with the local moment (μB).
Fractional coordinates of all 6 atoms:
Ho (0.6785, 0.3215, 0.0000)  -0.09
Ho (0.3215, 0.6785, 0.0000)  -0.09
Nb (0.8240, 0.8240, 0.6481)  -0.47
Nb (0.1760, 0.1760, 0.3519)  -0.47
Mn (0.7500, 0.2500, 0.5000)  1.66
Mn (0.2500, 0.7500, 0.5000)  1.66

Entry from Alexandria via LeMat-Bulk: a relaxed TbY2Ag crystal (PBE).

Results
Formation energy from the elements   -11.1 meV/atom
Relative energy among the computed polymorphs   122 meV/atom

Unit cell a=3.6286 b=3.6286 c=10.5135 alpha=80.06 beta=80.06 gamma=60.00
Each line ends with the local moment (μB).
Fractional coordinates of all 4 atoms:
Tb (0.5002, 0.5002, 0.4993)  0.06
Y (0.0739, 0.0739, 0.7782)  0.00
Y (0.2593, 0.2593, 0.2220)  0.02
Ag (0.6665, 0.6665, 0.0004)  0.00

Entry from Alexandria via LeMat-Bulk: a relaxed SrRePt3 crystal (PBE).

Results
Formation energy from the elements   175.1 meV/atom
Relative energy among the computed polymorphs   0 meV/atom

Unit cell a=4.9196 b=4.9196 c=4.9196 alpha=90.00 beta=90.00 gamma=90.00
Fractional coordinates of all 5 atoms:
Re (0.0000, 0.0000, 0.0000)
Pt (0.0000, 0.5000, 0.0000)
Pt (0.0000, 0.0000, 0.5000)
Pt (0.5000, 0.0000, 0.0000)
Sr (0.5000, 0.5000, 0.5000)

Entry from Alexandria via LeMat-Bulk: a relaxed CsZrAgF6 crystal (PBE).

Results
E_form (uncorrected)   -2.96 eV/atom

Unit cell a=6.2878 b=6.2886 c=5.9683 alpha=89.86 beta=90.21 gamma=60.08
Each line ends with the local moment (μB).
Fractional coordinates of all 9 atoms:
Cs (0.9970, 0.9959, 0.0009)  0.00
Zr (0.3328, 0.3329, 0.4997)  0.00
Ag (0.6647, 0.6637, 0.5013)  0.10
F (0.0641, 0.3506, 0.2951)  0.00
F (0.3468, 0.0648, 0.7021)  0.00
F (0.5838, 0.3634, 0.6989)  0.01
F (0.0468, 0.5984, 0.6809)  0.01
F (0.3664, 0.5835, 0.3026)  0.01
F (0.5974, 0.0469, 0.3183)  0.01

Entry from Alexandria via LeMat-Bulk: a relaxed NiAgB2C crystal (PBE).

Results
Formation energy from the elements   1564.5 meV/atom

Unit cell a=3.4327 b=4.4319 c=3.4327 alpha=90.00 beta=90.00 gamma=90.00
Fractional coordinates of all 5 atoms:
Ni (0.5000, 0.5000, 0.5000)
C (0.0000, 0.0000, 0.0000)
B (0.0000, 0.0000, 0.5000)
B (0.5000, 0.0000, 0.0000)
Ag (0.0000, 0.5000, 0.0000)

Entry from Alexandria via LeMat-Bulk: a relaxed CaZrPCl2 crystal (PBE).

Results
E_form (uncorrected)   -0.39 eV/atom
Relative energy among the computed polymorphs   722 meV/atom

Unit cell a=4.8578 b=4.8578 c=5.9444 alpha=90.00 beta=90.00 gamma=90.00
Each line ends with the local moment (μB).
Fractional coordinates of all 5 atoms:
P (0.0000, 0.0000, 0.5000)  -0.12
Ca (0.0000, 0.0000, 0.0000)  -0.01
Zr (0.5000, 0.5000, 0.5000)  0.93
Cl (0.0000, 0.5000, 0.0000)  0.00
Cl (0.5000, 0.0000, 0.0000)  0.00

Entry from Alexandria via LeMat-Bulk: a relaxed AcNiGe2 crystal (PBE).

Results
Formation energy from the elements   -419.3 meV/atom
Relative energy among the computed polymorphs   189 meV/atom

Unit cell a=4.6619 b=4.7461 c=4.7461 alpha=113.65 beta=90.00 gamma=90.00
Fractional coordinates of all 4 atoms:
Ac (0.0000, 0.0000, 0.0000)
Ni (0.5000, 0.5000, 0.5000)
Ge (0.5000, 0.5000, 0.0000)
Ge (0.5000, 0.0000, 0.5000)